# Zn2CdN2

An optimized crystal structure of Zn2CdN2 (PBE, Alexandria).

For the energy relative to the elements, uncorrected, the calculation gives 1704 meV/atom.

It has space group P-43m (No. 215), with a = 7.6852 Å, b = 7.6852 Å, c = 7.6852 Å, α = 90.00°, β = 90.00° and γ = 90.00°. Symmetry generates all atoms from Zn at (0.1926, 0.1926, 0.1926), Cd at (0.0000, 0.0000, 0.0000), Cd at (0.5000, 0.5000, 0.5000) and N at (0.3369, 0.3369, 0.3369).


# InTe2I

An optimized crystal structure of InTe2I (PBE, Alexandria).

For the energy relative to the elements, uncorrected, the calculation gives -159 meV/atom.

It has space group Pnna (No. 52), with a = 7.9125 Å, b = 5.6245 Å, c = 13.9003 Å, α = 90.00°, β = 90.00° and γ = 90.00°. Symmetry generates all atoms from In at (0.2500, 0.0000, 0.0750), Te at (0.0542, 0.1728, 0.5628) and I at (0.0679, 0.2500, 0.2500).


DOS(E_F), respectively: 0.447, 0.265 states/eV/atom.
Size of the total moment, respectively: 8.1, 0.0 μB/cell.